# LaTe2Cl | the Alexandria database | PBE | relaxed
data_LaTe2Cl
_chemical_formula_sum 'La2 Te4 Cl2'
_symmetry_space_group_name_H-M 'I -4 m 2'
_symmetry_Int_Tables_number 119
_symmetry_space_group_name_Hall 'I -4 -2'
_cell_length_a 4.900
_cell_length_b 4.900
_cell_length_c 9.532
_cell_angle_alpha 90.00
_cell_angle_beta 90.00
_cell_angle_gamma 90.00
loop_
_atom_site_label
_atom_site_type_symbol
_atom_site_fract_x
_atom_site_fract_y
_atom_site_fract_z
_atom_site_occupancy
La1 La 0.000 0.000 0.000 1
Te1 Te 0.000 0.000 0.500 1
Te2 Te 0.000 0.500 0.750 1
Cl1 Cl 0.000 0.500 0.250 1
# **Theoretical density**: 6.2 g/cm3
# **Formation energy from raw total energies**: -0.9685 eV/atom
# **ΔE to the lowest computed polymorph**: 338.9 meV per atom